A relaxed UAlGa crystal, computed with PBE.

## Properties
Crystal system   cubic
Magnetic moment   9.58 Bohr magnetons per cell

Cell: 6.7128 6.7128 6.7128 Å, 90.00 90.00 90.00°
Closest atoms and distances in Å follow each position.
Space group F-43m (No. 216)
Inequivalent atoms, fractional coordinates:
U1 0.0000 0.0000 0.0000 [4 per cell]  4 Al 2.91, 4 Ga 2.91
Al1 0.2500 0.2500 0.2500 [4 per cell]  4 U 2.91
Ga1 0.2500 0.2500 0.7500 [4 per cell]  4 U 2.91

=====

A relaxed AlGaW crystal, computed with PBE.

## Properties
Crystal system   cubic
Magnetic moment   4.40 Bohr magnetons per cell

Cell: 6.0986 6.0986 6.0986 Å, 90.00 90.00 90.00°
Closest atoms and distances in Å follow each position.
Space group F-43m (No. 216)
Inequivalent atoms, fractional coordinates:
Al1 0.0000 0.0000 0.0000 [4 per cell]  4 W 2.64
Ga1 0.0000 0.0000 0.5000 [4 per cell]  4 W 2.64
W1 0.2500 0.2500 0.2500 [4 per cell]  4 Ga 2.64, 4 Al 2.64

=====

Calculated total energy (computed, eV for the cell shown): -64.94, -70.68